No. 1
This record from the Alexandria database describes LiSm2TcH6 after structural relaxation. The functional is PBE-GGA. Values from VASP.

Quantum ESPRESSO input file:
```
&SYSTEM
  ibrav = 0, nat = 10, ntyp = 4
/
ATOMIC_SPECIES
Li 6.94 Li.upf
Sm 150.36 Sm.upf
Tc 98.00 Tc.upf
H 1.01 H.upf
ATOMIC_POSITIONS crystal
Li 0.5000 0.0000 0.0000
Sm 0.2326 0.3333 0.6667
Sm 0.7674 0.6667 0.3333
Tc 0.0000 0.0000 0.0000
H 0.7782 0.1655 0.3310
H 0.7782 0.1655 0.8345
H 0.7782 0.6690 0.8345
H 0.2218 0.8345 0.1655
H 0.2218 0.3310 0.1655
H 0.2218 0.8345 0.6690
CELL_PARAMETERS angstrom
5.1697 0.0000 0.0000
0.0000 4.9313 0.0000
0.0000 -2.4657 4.2706
```

Summary:
Crystal system: trigonal
Electronic total energy, eV/atom: -4.568
Density, g cm⁻³: 6.3

=====

No. 2
This record from the Alexandria database describes LiSm2TlH after structural relaxation. The functional is PBE-GGA. Values from VASP.

Quantum ESPRESSO input file:
```
&SYSTEM
  ibrav = 0, nat = 5, ntyp = 4
/
ATOMIC_SPECIES
Li 6.94 Li.upf
Sm 150.36 Sm.upf
Tl 204.38 Tl.upf
H 1.01 H.upf
ATOMIC_POSITIONS crystal
Li 0.5000 0.0000 0.0000
Sm 0.0000 0.0000 0.5000
Sm 0.0000 0.5000 0.0000
Tl 0.5000 0.5000 0.5000
H 0.0000 0.0000 0.0000
CELL_PARAMETERS angstrom
4.3090 0.0000 0.0000
0.0000 4.9908 0.0000
0.0000 0.0000 4.9908
```

Summary:
Crystal system: tetragonal
Electronic total energy, eV/atom: -3.761
Density, g cm⁻³: 7.9

=====

No. 3
This record from the Alexandria database describes LiSn3H after structural relaxation. The functional is PBE-GGA. Values from VASP.

Quantum ESPRESSO input file:
```
&SYSTEM
  ibrav = 0, nat = 5, ntyp = 3
/
ATOMIC_SPECIES
H 1.01 H.upf
Sn 118.71 Sn.upf
Li 6.94 Li.upf
ATOMIC_POSITIONS crystal
H 0.5000 0.5000 0.5000
Sn 0.0000 0.5000 0.0000
Sn 0.0000 0.0000 0.5000
Sn 0.5000 0.0000 0.0000
Li 0.0000 0.0000 0.0000
CELL_PARAMETERS angstrom
-4.0418 2.7959 -0.3855
-1.5442 -2.7544 -3.7857
-2.3624 -2.9831 3.1341
```

Summary:
Crystal system: cubic
Electronic total energy, eV/atom: -2.830
Offset from the most stable computed form, meV/atom: 527.2
Density, g cm⁻³: 5.0

=====

Number 1: volume 108.9 Å³ per cell, N(E_F) 3.9 states/eV per cell. Number 2: volume 107.3 Å³ per cell, N(E_F) 3.8 states/eV per cell. Number 3: volume 119.8 Å³ per cell, N(E_F) 2.5 states/eV per cell.